No. 1
Entry from the Alexandria database: an optimized crystal structure of NdSmHo2P4 (PBE-GGA).

Summary:
* magnetization: 0.00 μB per formula unit
* formation energy from the elements: -1.578 eV per atom

a b c (Å): 4.0653 7.0336 7.0377
angles (deg): 70.53 90.00 90.00
Positions (direct):
Nd1 0.5000 0.5000 0.0000
Ho1 0.5000 0.0000 0.5000
Ho2 0.0000 0.0000 0.0000
Sm1 0.0000 0.5000 0.5000
P1 0.0000 0.2403 0.2548
P2 0.5000 0.7585 0.2487
P3 0.0000 0.7597 0.7452
P4 0.5000 0.2415 0.7513

No. 2
Entry from the Alexandria database: an optimized crystal structure of Tb2NdHo3P6 (PBE-GGA).

Summary:
* magnetization: 0.00 μB per formula unit
* formation energy from the elements: -1.595 eV per atom

a b c (Å): 6.9836 6.9836 6.9828
angles (deg): 99.59 99.59 119.99
Positions (direct):
P1 0.9148 0.5770 0.7446
P2 0.2528 0.2528 0.7450
P3 0.0852 0.4230 0.2554
P4 0.7472 0.7472 0.2550
P5 0.5770 0.9148 0.7446
P6 0.4230 0.0852 0.2554
Ho1 0.8342 0.1658 0.5000
Ho2 0.1658 0.8342 0.5000
Ho3 0.5000 0.5000 0.5000
Tb1 0.3331 0.6669 0.0000
Tb2 0.6669 0.3331 0.0000
Nd1 0.0000 0.0000 0.0000

No. 3
Entry from the Alexandria database: an optimized crystal structure of Tb3NdHo2P6 (PBE-GGA).

Summary:
* magnetization: 0.00 μB per formula unit
* formation energy from the elements: -1.593 eV per atom

a b c (Å): 6.9952 6.9952 6.9965
angles (deg): 99.59 99.59 119.99
Positions (direct):
Tb1 0.5000 0.5000 0.5000
Tb2 0.1656 0.8344 0.5000
Tb3 0.8344 0.1656 0.5000
P1 0.2556 0.2556 0.7493
P2 0.4229 0.0838 0.2513
P3 0.9162 0.5771 0.7487
P4 0.7444 0.7444 0.2507
P5 0.5771 0.9162 0.7487
P6 0.0838 0.4229 0.2513
Ho1 0.3330 0.6670 0.0000
Ho2 0.6670 0.3330 0.0000
Nd1 0.0000 0.0000 0.0000

No. 4
Entry from the Alexandria database: an optimized crystal structure of Tb2NdHoP4 (PBE-GGA).

Summary:
* magnetization: 0.00 μB per formula unit
* formation energy from the elements: -1.585 eV per atom

a b c (Å): 4.0566 7.0206 7.0210
angles (deg): 109.46 90.00 90.00
Positions (direct):
P1 0.5000 0.7545 0.7490
P2 0.0000 0.2436 0.7452
P3 0.5000 0.2455 0.2510
P4 0.0000 0.7564 0.2548
Nd1 0.5000 0.5000 0.0000
Tb1 0.0000 0.5000 0.5000
Tb2 0.5000 0.0000 0.5000
Ho1 0.0000 0.0000 0.0000

No. 5
Entry from the Alexandria database: an optimized crystal structure of NdHoTeP (PBE-GGA).

Summary:
* magnetization: 0.00 μB per formula unit
* formation energy from raw total energies: -6.1 eV per formula unit

a b c (Å): 4.1365 4.1369 7.7163
angles (deg): 90.00 105.54 120.00
Positions (direct):
Nd1 0.4950 0.1454 0.6556
P1 0.3132 0.5545 0.8830
Ho1 0.1089 0.9524 0.0767
Te1 0.9608 0.3785 0.3544

No. 6
Entry from the Alexandria database: an optimized crystal structure of NdHoTh2P4 (PBE-GGA).

Summary:
* magnetization: 0.00 μB per formula unit
* formation energy from the elements: -1.567 eV per atom

a b c (Å): 4.1214 7.0960 7.1403
angles (deg): 70.35 90.00 90.00
Positions (direct):
Th1 0.5000 0.0000 0.5000
Th2 0.0000 0.0000 0.0000
P1 0.5000 0.2539 0.7440
P2 0.0000 0.2500 0.2546
P3 0.5000 0.7461 0.2560
P4 0.0000 0.7500 0.7454
Nd1 0.5000 0.5000 0.0000
Ho1 0.0000 0.5000 0.5000